Record 1
{"formula": "CaCd2As2", "functional": "PBE-GGA", "state": "optimized geometry", "formation_enthalpy_0k_ev_per_atom": -0.245, "volume_a3_per_atom": 25.18, "relative_energy_kcal_per_mol_atoms": 8.11, "total_energy_ry_per_atom": -0.211, "lattice_angstrom": [[5.018, 0.000, 0.000], [0.000, 5.018, 0.000], [2.509, 2.509, 5.000]], "species": ["Cd", "Cd", "As", "As", "Ca"], "fractional_positions": [[0.365, 0.365, 0.271], [0.635, 0.635, 0.729], [0.250, 0.750, 0.500], [0.750, 0.250, 0.500], [0.000, 0.000, 0.000]]}

Record 2
{"formula": "CaCdAs2", "functional": "PBE-GGA", "state": "optimized geometry", "formation_enthalpy_0k_ev_per_atom": -0.235, "volume_a3_per_atom": 24.00, "total_energy_ry_per_atom": -0.242, "lattice_angstrom": [[-2.793, 1.447, -1.996], [-2.300, -2.616, 1.323], [-1.647, 4.128, 5.299]], "species": ["As", "As", "Cd", "Ca"], "fractional_positions": [[0.500, 0.500, 0.188], [0.000, 0.000, 0.055], [0.500, 0.500, 0.780], [0.000, 0.000, 0.476]]}

Record 3
{"formula": "CaCdAs2", "functional": "PBE-GGA", "state": "optimized geometry", "formation_enthalpy_0k_ev_per_atom": -0.138, "volume_a3_per_atom": 23.00, "total_energy_ry_per_atom": -0.235, "lattice_angstrom": [[5.067, 0.000, 0.000], [2.534, 4.388, 0.000], [2.534, 1.463, 4.137]], "species": ["As", "As", "Cd", "Ca"], "fractional_positions": [[0.000, 0.000, 0.000], [0.250, 0.250, 0.250], [0.750, 0.750, 0.750], [0.500, 0.500, 0.500]]}

Record 4
{"formula": "CaCdAs2", "functional": "PBE-GGA", "state": "optimized geometry", "formation_enthalpy_0k_ev_per_atom": -0.312, "volume_a3_per_atom": 24.65, "total_energy_ry_per_atom": -0.247, "lattice_angstrom": [[4.111, 0.000, 0.000], [0.000, 4.111, 0.000], [0.000, 0.000, 5.834]], "species": ["As", "As", "Ca", "Cd"], "fractional_positions": [[0.000, 0.000, 0.907], [0.500, 0.500, 0.342], [0.000, 0.000, 0.407], [0.500, 0.500, 0.844]]}

Record 5
{"formula": "CaCd3As", "functional": "PBE-GGA", "state": "optimized geometry", "formation_enthalpy_0k_ev_per_atom": 0.129, "volume_a3_per_atom": 30.69, "relative_energy_kcal_per_mol_atoms": 0.00, "total_energy_ry_per_atom": -0.129, "lattice_angstrom": [[5.353, 0.000, 0.000], [0.000, 5.353, 0.000], [0.000, 0.000, 5.353]], "species": ["Cd", "Cd", "Cd", "Ca", "As"], "fractional_positions": [[0.500, 0.000, 0.000], [0.000, 0.500, 0.000], [0.000, 0.000, 0.500], [0.500, 0.500, 0.500], [0.000, 0.000, 0.000]]}

Record 6
{"formula": "Ca2CdAs", "functional": "PBE-GGA", "state": "optimized geometry", "formation_enthalpy_0k_ev_per_atom": -0.704, "volume_a3_per_atom": 25.78, "relative_energy_kcal_per_mol_atoms": 0.88, "total_energy_ry_per_atom": -0.228, "lattice_angstrom": [[3.901, 0.000, 0.000], [0.000, 3.702, 0.011], [0.000, 3.683, 7.154]], "species": ["Ca", "Ca", "As", "Cd"], "fractional_positions": [[0.000, 0.027, 0.973], [0.000, 0.473, 0.527], [0.500, 0.750, 0.750], [0.500, 0.250, 0.250]]}

Record 7
{"formula": "Ca2CdAs", "functional": "PBE-GGA", "state": "optimized geometry", "formation_enthalpy_0k_ev_per_atom": -0.689, "volume_a3_per_atom": 25.65, "relative_energy_kcal_per_mol_atoms": 1.23, "total_energy_ry_per_atom": -0.226, "lattice_angstrom": [[5.004, -0.003, -0.010], [0.002, 5.004, -0.010], [0.009, 0.009, 4.098]], "species": ["Ca", "Ca", "Cd", "As"], "fractional_positions": [[0.000, 0.000, 0.000], [0.500, 0.500, 0.000], [0.500, 0.000, 0.500], [0.000, 0.500, 0.500]]}

Record 8
{"formula": "Ca2CdAs", "functional": "PBE-GGA", "state": "optimized geometry", "formation_enthalpy_0k_ev_per_atom": -0.619, "volume_a3_per_atom": 26.24, "relative_energy_kcal_per_mol_atoms": 2.84, "total_energy_ry_per_atom": -0.221, "lattice_angstrom": [[0.000, 3.744, 3.744], [3.744, 0.000, 3.744], [3.744, 3.744, 0.000]], "species": ["Cd", "Ca", "Ca", "As"], "fractional_positions": [[0.500, 0.500, 0.500], [0.750, 0.750, 0.750], [0.250, 0.250, 0.250], [0.000, 0.000, 0.000]]}

Record 9
{"formula": "CaCd3As", "functional": "PBE-GGA", "state": "optimized geometry", "formation_enthalpy_0k_ev_per_atom": 0.837, "volume_a3_per_atom": 41.16, "relative_energy_kcal_per_mol_atoms": 16.33, "total_energy_ry_per_atom": -0.077, "lattice_angstrom": [[5.904, 0.000, 0.000], [0.000, 5.904, 0.000], [0.000, 0.000, 5.904]], "species": ["Ca", "Cd", "Cd", "Cd", "As"], "fractional_positions": [[0.000, 0.000, 0.000], [0.000, 0.000, 0.500], [0.000, 0.500, 0.000], [0.500, 0.000, 0.000], [0.500, 0.500, 0.500]]}

Record 10
{"formula": "CaCdAs2", "functional": "PBE-GGA", "state": "optimized geometry", "formation_enthalpy_0k_ev_per_atom": -0.381, "volume_a3_per_atom": 22.30, "total_energy_ry_per_atom": -0.252, "lattice_angstrom": [[5.263, 0.000, 0.000], [0.000, 3.221, -0.023], [0.000, 0.038, 5.261]], "species": ["Cd", "As", "As", "Ca"], "fractional_positions": [[0.500, 0.628, 0.875], [0.000, 0.123, 0.875], [0.500, 0.125, 0.375], [0.000, 0.624, 0.375]]}

Record 11
{"formula": "CaCd2As", "functional": "PBE-GGA", "state": "optimized geometry", "formation_enthalpy_0k_ev_per_atom": -0.302, "volume_a3_per_atom": 24.23, "total_energy_ry_per_atom": -0.178, "lattice_angstrom": [[-1.237, 3.442, 3.635], [-0.126, -3.761, 3.526], [4.219, 0.695, -2.883]], "species": ["Cd", "Cd", "As", "Ca"], "fractional_positions": [[0.000, 0.000, 0.000], [0.250, 0.750, 0.500], [0.500, 0.500, 0.000], [0.750, 0.250, 0.500]]}

Record 12
{"formula": "CaCd2As", "functional": "PBE-GGA", "state": "optimized geometry", "formation_enthalpy_0k_ev_per_atom": -0.187, "volume_a3_per_atom": 25.02, "total_energy_ry_per_atom": -0.170, "lattice_angstrom": [[-1.503, -0.116, -5.575], [0.976, -4.951, 2.809], [-3.334, -0.146, 0.902]], "species": ["Cd", "Cd", "As", "Ca"], "fractional_positions": [[0.000, 0.000, 0.000], [0.500, 0.500, 0.000], [0.500, 0.000, 0.500], [0.000, 0.500, 0.500]]}

Record 13
{"formula": "CaCdAs2", "functional": "PBE-GGA", "state": "optimized geometry", "formation_enthalpy_0k_ev_per_atom": -0.334, "volume_a3_per_atom": 23.62, "total_energy_ry_per_atom": -0.249, "lattice_angstrom": [[5.858, -0.056, -0.036], [4.119, 4.166, -0.036], [4.119, 1.697, 3.805]], "species": ["Cd", "Ca", "As", "As"], "fractional_positions": [[0.750, 0.750, 0.750], [0.250, 0.250, 0.250], [0.003, 0.003, 0.003], [0.497, 0.497, 0.497]]}

Record 14
{"formula": "CaCdAs2", "functional": "PBE-GGA", "state": "optimized geometry", "formation_enthalpy_0k_ev_per_atom": -0.432, "volume_a3_per_atom": 26.23, "total_energy_ry_per_atom": -0.256, "lattice_angstrom": [[-2.348, 3.302, -0.058], [-1.940, -1.438, -3.320], [-4.197, -2.920, 3.694]], "species": ["Ca", "As", "As", "Cd"], "fractional_positions": [[0.500, 0.250, 0.250], [0.000, 0.748, 0.455], [0.000, 0.752, 0.045], [0.500, 0.750, 0.750]]}

Record 15
{"formula": "CaCd2As", "functional": "PBE-GGA", "state": "optimized geometry", "formation_enthalpy_0k_ev_per_atom": -0.396, "volume_a3_per_atom": 23.72, "total_energy_ry_per_atom": -0.185, "lattice_angstrom": [[-0.484, 3.764, 4.626], [-4.357, 2.768, 3.026], [-0.941, -2.110, 3.593]], "species": ["Ca", "Cd", "Cd", "As"], "fractional_positions": [[0.250, 0.250, 0.250], [0.998, 0.998, 0.002], [0.502, 0.502, 0.498], [0.750, 0.750, 0.750]]}

Record 16
{"formula": "CaCdAs2", "functional": "PBE-GGA", "state": "optimized geometry", "formation_enthalpy_0k_ev_per_atom": -0.406, "volume_a3_per_atom": 23.87, "total_energy_ry_per_atom": -0.254, "lattice_angstrom": [[7.806, 0.000, 0.000], [0.000, 7.806, 0.000], [3.903, 3.903, 3.134]], "species": ["Ca", "Ca", "As", "As", "As", "As", "Cd", "Cd"], "fractional_positions": [[0.500, 0.500, 0.000], [0.250, 0.750, 0.500], [0.375, 0.344, 0.750], [0.656, 0.125, 0.250], [0.094, 0.625, 0.250], [0.875, 0.906, 0.750], [0.000, 0.000, 0.000], [0.750, 0.250, 0.500]]}

Record 17
{"formula": "CaCdAs", "functional": "PBE-GGA", "state": "optimized geometry", "formation_enthalpy_0k_ev_per_atom": -0.298, "volume_a3_per_atom": 27.92, "relative_energy_kcal_per_mol_atoms": 7.08, "total_energy_ry_per_atom": -0.207, "lattice_angstrom": [[4.911, 0.000, 0.000], [2.455, 4.253, 0.000], [2.455, 1.418, 4.010]], "species": ["Ca", "Cd", "As"], "fractional_positions": [[0.750, 0.750, 0.750], [0.000, 0.000, 0.000], [0.500, 0.500, 0.500]]}

Record 18
{"formula": "Ca2CdAs", "functional": "PBE-GGA", "state": "optimized geometry", "formation_enthalpy_0k_ev_per_atom": -0.742, "volume_a3_per_atom": 27.15, "relative_energy_kcal_per_mol_atoms": 0.00, "total_energy_ry_per_atom": -0.230, "lattice_angstrom": [[6.086, -0.010, 0.000], [4.504, 4.093, 0.000], [0.000, 0.000, 4.353]], "species": ["As", "Cd", "Ca", "Ca"], "fractional_positions": [[0.711, 0.711, 0.875], [0.545, 0.545, 0.375], [0.261, 0.261, 0.375], [0.983, 0.983, 0.875]]}

Record 19
{"formula": "CaCd2As2", "functional": "PBE-GGA", "state": "optimized geometry", "formation_enthalpy_0k_ev_per_atom": -0.410, "volume_a3_per_atom": 24.35, "relative_energy_kcal_per_mol_atoms": 4.31, "total_energy_ry_per_atom": -0.223, "lattice_angstrom": [[-3.785, 1.507, -1.174], [0.080, -2.477, -3.439], [-4.903, -5.427, 1.183]], "species": ["As", "As", "Cd", "Cd", "Ca"], "fractional_positions": [[0.389, 0.389, 0.221], [0.611, 0.611, 0.779], [0.750, 0.250, 0.500], [0.250, 0.750, 0.500], [0.000, 0.000, 0.000]]}

Record 20
{"formula": "Ca4CdAs", "functional": "PBE-GGA", "state": "optimized geometry", "formation_enthalpy_0k_ev_per_atom": 0.237, "volume_a3_per_atom": 33.51, "total_energy_ry_per_atom": -0.149, "lattice_angstrom": [[-2.008, 1.281, 6.129], [-6.137, 2.101, 1.077], [-4.364, -3.956, 2.925]], "species": ["Cd", "Ca", "Ca", "Ca", "Ca", "As"], "fractional_positions": [[0.750, 0.750, 0.750], [0.374, 0.374, 0.374], [0.878, 0.374, 0.374], [0.374, 0.374, 0.878], [0.374, 0.878, 0.374], [0.000, 0.000, 0.000]]}

| no. | M_tot (μB/cell) |
| --- | --- |
| 1 | 0.0 |
| 2 | 0.0 |
| 3 | 0.0 |
| 4 | 0.0 |
| 5 | 0.0 |
| 6 | 0.0 |
| 7 | 0.0 |
| 8 | 0.0 |
| 9 | 1.2 |
| 10 | 0.0 |
| 11 | 0.0 |
| 12 | 0.0 |
| 13 | 0.0 |
| 14 | 0.0 |
| 15 | 0.0 |
| 16 | 0.0 |
| 17 | 0.0 |
| 18 | 0.0 |
| 19 | 0.0 |
| 20 | 0.0 |